Compound: LaIr2Cl
Source: Alexandria
Functional: GGA-PBE
Structure: relaxed

energy relative to the elements, uncorrected	0.61	eV/atom
DOS(E_F)	1.1686	states/eV per atom
final energy	-5.512	eV/atom
distance to the lowest polymorph of the same formula	4.95	eV/f.u.
crystal system	trigonal

Cell: 9.345 9.345 9.345 Å, 18.92 18.92 18.92°
Fractional positions:
La 0.000 0.000 0.000
Ir 0.242 0.242 0.242
Ir 0.758 0.758 0.758
Cl 0.500 0.500 0.500

=====

Compound: La2Ir2Cl
Source: Alexandria
Functional: GGA-PBE
Structure: relaxed

energy relative to the elements, uncorrected	-0.91	eV/atom
DOS(E_F)	0.5554	states/eV per atom
final energy	-6.798	eV/atom
distance to the lowest polymorph of the same formula	0.00	eV/f.u.
crystal system	tetragonal

Cell: 8.468 8.468 8.468 Å, 152.35 152.35 39.50°
Fractional positions:
La 0.128 0.128 0.000
La 0.872 0.872 0.000
Ir 0.250 0.750 0.500
Ir 0.750 0.250 0.500
Cl 0.500 0.500 0.000

=====

Compound: La8Ir3Cl4
Source: Alexandria
Functional: GGA-PBE
Structure: relaxed

energy relative to the elements, uncorrected	-1.19	eV/atom
DOS(E_F)	0.9370	states/eV per atom
final energy	-6.085	eV/atom
crystal system	trigonal

Cell: 9.168 9.168 9.168 Å, 55.84 55.84 55.84°
Fractional positions:
La 0.215 0.745 0.745
La 0.231 0.231 0.231
La 0.255 0.255 0.785
La 0.255 0.785 0.255
La 0.745 0.215 0.745
La 0.745 0.745 0.215
La 0.769 0.769 0.769
La 0.785 0.255 0.255
Ir 0.000 0.000 0.500
Ir 0.000 0.500 0.000
Ir 0.500 0.000 0.000
Cl 0.000 0.000 0.000
Cl 0.360 0.360 0.360
Cl 0.500 0.500 0.500
Cl 0.640 0.640 0.640

=====

Compound: LaIr2Cl
Source: Alexandria
Functional: GGA-PBE
Structure: relaxed

energy relative to the elements, uncorrected	0.06	eV/atom
DOS(E_F)	1.0059	states/eV per atom
final energy	-6.067	eV/atom
distance to the lowest polymorph of the same formula	2.73	eV/f.u.
crystal system	tetragonal

Cell: 4.679 4.679 4.679 Å, 110.80 110.80 106.85°
Fractional positions:
La 0.000 0.000 0.000
Ir 0.250 0.750 0.500
Ir 0.500 0.500 0.000
Cl 0.750 0.250 0.500

=====

Compound: LaIr2Cl
Source: Alexandria
Functional: GGA-PBE
Structure: relaxed

energy relative to the elements, uncorrected	-0.63	eV/atom
DOS(E_F)	0.5970	states/eV per atom
final energy	-6.749	eV/atom
distance to the lowest polymorph of the same formula	0.00	eV/f.u.
crystal system	monoclinic

Cell: 4.357 4.357 7.906 Å, 104.47 104.47 53.93°
Fractional positions:
La 0.000 0.000 0.000
Ir 0.437 0.437 0.270
Ir 0.741 0.741 0.266
Cl 0.251 0.251 0.776

=====

Compound: LaIr2Cl
Source: Alexandria
Functional: GGA-PBE
Structure: relaxed

energy relative to the elements, uncorrected	0.17	eV/atom
DOS(E_F)	0.7575	states/eV per atom
final energy	-5.955	eV/atom
distance to the lowest polymorph of the same formula	3.17	eV/f.u.
crystal system	orthorhombic

Cell: 5.773 5.773 3.259 Å, 90.00 90.00 127.32°
Fractional positions:
La 0.000 0.000 0.000
Ir 0.000 0.500 0.500
Ir 0.500 0.000 0.500
Cl 0.500 0.500 0.000

=====

- Which formula does entry 6 have?
  LaIr2Cl

=====

- Among the records above, which one has the highest DOS(E_F)?
  number 1